The following is a DFT calculation (PBE-GGA) of crystalline CdCu2BiSb at its relaxed geometry.

Computed properties:
Symmetry = No. 123
N(E_F) = 3.4 states/eV/cell
Raw formation energy = 785 meV/atom
Calculated volume = 26.84 Å³ per atom

Cell lengths 4.854, 4.854, 5.695 Å; angles 90.00, 90.00, 90.00 degrees
Fractional positions:
Cd (0.000, 0.000, 0.000)
Cu (0.000, 0.500, 0.000)
Cu (0.500, 0.000, 0.000)
Bi (0.000, 0.000, 0.500)
Sb (0.500, 0.500, 0.500)



The following is a DFT calculation (PBE-GGA) of crystalline Cs2Cd2InCl6 at its relaxed geometry.

Computed properties:
Symmetry = No. 12
N(E_F) = 4.0 states/eV/cell
Raw formation energy = -1247 meV/atom
Calculated volume = 37.08 Å³ per atom

Cell lengths 7.720, 7.720, 9.154 Å; angles 116.79, 116.79, 61.40 degrees
Fractional positions:
Cs (0.212, 0.212, 0.193)
Cs (0.788, 0.788, 0.807)
Cd (0.463, 0.463, 0.832)
Cd (0.537, 0.537, 0.168)
In (0.000, 0.000, 0.500)
Cl (0.184, 0.711, 0.237)
Cl (0.243, 0.243, 0.594)
Cl (0.289, 0.816, 0.763)
Cl (0.711, 0.184, 0.237)
Cl (0.757, 0.757, 0.406)
Cl (0.816, 0.289, 0.763)



The following is a DFT calculation (PBE-GGA) of crystalline SiI2NF at its relaxed geometry.

Computed properties:
Symmetry = No. 123
N(E_F) = 5.3 states/eV/cell
Raw formation energy = 78 meV/atom
ΔE to the lowest computed polymorph = 0.000 eV/atom
Calculated volume = 22.36 Å³ per atom

Cell lengths 5.920, 5.920, 3.190 Å; angles 90.00, 90.00, 90.00 degrees
Fractional positions:
Si (0.000, 0.000, 0.000)
I (0.000, 0.500, 0.000)
I (0.500, 0.000, 0.000)
N (0.000, 0.000, 0.500)
F (0.500, 0.500, 0.500)



The following is a DFT calculation (PBE-GGA) of crystalline SnO2F at its relaxed geometry.

Computed properties:
Symmetry = No. 122
N(E_F) = 10.1 states/eV/cell
Raw formation energy = -1110 meV/atom
ΔE to the lowest computed polymorph = 0.000 eV/atom
Calculated volume = 11.74 Å³ per atom

Cell lengths 5.137, 5.137, 5.137 Å; angles 100.23, 100.23, 130.16 degrees
Fractional positions:
Sn (0.000, 0.000, 0.000)
Sn (0.750, 0.250, 0.500)
O (0.047, 0.625, 0.922)
O (0.375, 0.297, 0.422)
O (0.703, 0.125, 0.078)
O (0.875, 0.953, 0.578)
F (0.250, 0.750, 0.500)
F (0.500, 0.500, 0.000)